1.
Density functional theory data (PBE) for an optimized crystal structure of BeOsBr2.

Cell: 3.1005 6.2145 7.8411 Å, 90.00 90.00 90.00°
Space group Immm (No. 71)
Asymmetric unit:
Be 0.0000 0.0000 0.0000 [2 per cell]
Os 0.0000 0.0000 0.5000 [2 per cell]
Br 0.0000 0.5000 0.2793 [4 per cell]

Values from the calculation:
Energy in eV/atom: -3.42
Distance to the lowest polymorph of the same formula in eV per atom: 0.971
D(E_F) in states/eV/f.u.: 2.27


2.
Density functional theory data (PBE) for an optimized crystal structure of CaNb2Al2.

Cell: 8.3117 8.3117 2.8897 Å, 90.00 90.00 90.00°
Space group P4/mbm (No. 127)
Asymmetric unit:
Ca 0.0000 0.0000 0.0000 [2 per cell]
Nb 0.1137 0.3863 0.0000 [4 per cell]
Al 0.1780 0.6780 0.5000 [4 per cell]

Values from the calculation:
Energy of formation in meV/atom: -95
Energy in eV/atom: -6.02
Distance to the lowest polymorph of the same formula in eV per atom: 0.000
D(E_F) in states/eV/f.u.: 2.84


3.
Density functional theory data (PBE) for an optimized crystal structure of La3Tb3Dy4.

Cell: 3.7136 13.5900 13.5746 Å, 90.00 90.00 90.00°
Space group Amm2 (No. 38)
Asymmetric unit:
La 0.0000 0.0000 0.0000 [2 per cell]
La 0.5000 0.2463 0.4223 [4 per cell]
Tb 0.0000 0.0000 0.3483 [2 per cell]
Tb 0.0000 0.1725 0.6727 [4 per cell]
Dy 0.5000 0.0000 0.5499 [2 per cell]
Dy 0.5000 0.0000 0.7938 [2 per cell]
Dy 0.5000 0.1241 0.1783 [4 per cell]

Values from the calculation:
Energy of formation in meV/atom: 86
Energy in eV/atom: -4.62
D(E_F) in states/eV/f.u.: 12.83


4.
Density functional theory data (PBE) for an optimized crystal structure of ZrTlNi3.

Cell: 4.6491 4.6491 4.6491 Å, 90.00 90.00 90.00°
Space group Pm-3m (No. 221)
Asymmetric unit:
Zr 0.0000 0.0000 0.0000 [1 per cell]
Tl 0.5000 0.5000 0.5000 [1 per cell]
Ni 0.0000 0.5000 0.5000 [3 per cell]

Values from the calculation:
Energy of formation in meV/atom: 1051
Energy in eV/atom: -4.60
Distance to the lowest polymorph of the same formula in eV per atom: 0.044
D(E_F) in states/eV/f.u.: 8.01


5.
Density functional theory data (PBE) for an optimized crystal structure of FeAs2Ir.

Cell: 3.8437 3.8437 8.1730 Å, 90.00 90.00 90.00°
Space group I-4m2 (No. 119)
Asymmetric unit:
Fe 0.0000 0.0000 0.0000 [2 per cell]
As 0.0000 0.0000 0.5000 [2 per cell]
As 0.0000 0.5000 0.2500 [2 per cell]
Ir 0.0000 0.5000 0.7500 [2 per cell]

Values from the calculation:
Energy of formation in meV/atom: 268
Energy in eV/atom: -6.39
Distance to the lowest polymorph of the same formula in eV per atom: 0.264
D(E_F) in states/eV/f.u.: 3.68


6.
Density functional theory data (PBE) for an optimized crystal structure of YTl2In.

Cell: 3.5693 3.5693 31.7675 Å, 90.00 90.00 120.00°
Space group R3m (No. 160, hexagonal axes)
Asymmetric unit:
Y 0.0000 0.0000 0.0000 [3 per cell]
Tl 0.0000 0.0000 0.5016 [3 per cell]
Tl 0.0000 0.0000 0.7485 [3 per cell]
In 0.0000 0.0000 0.2527 [3 per cell]

Values from the calculation:
Energy of formation in meV/atom: -103
Energy in eV/atom: -3.59
D(E_F) in states/eV/f.u.: 2.80


What did the third record say?
Density functional theory data (PBE) for an optimized crystal structure of La3Tb3Dy4.

Cell: 3.7136 13.5900 13.5746 Å, 90.00 90.00 90.00°
Space group Amm2 (No. 38)
Asymmetric unit:
La 0.0000 0.0000 0.0000 [2 per cell]
La 0.5000 0.2463 0.4223 [4 per cell]
Tb 0.0000 0.0000 0.3483 [2 per cell]
Tb 0.0000 0.1725 0.6727 [4 per cell]
Dy 0.5000 0.0000 0.5499 [2 per cell]
Dy 0.5000 0.0000 0.7938 [2 per cell]
Dy 0.5000 0.1241 0.1783 [4 per cell]

Values from the calculation:
Energy of formation in meV/atom: 86
Energy in eV/atom: -4.62
D(E_F) in states/eV/f.u.: 12.83


energy of number 1 (BeOsBr2)?
-3.42 eV/atom